# 1
DFT (PBE-GGA) results for an optimized crystal structure of TcRu2Rh.

The energy of formation is 6 kJ per mole of atoms. For the density of states at the Fermi level, the calculation gives 1.403 states/eV/atom. As for the total energy: -9.00 eV per atom. Its density is 11.81 g cm⁻³. The crystal system is trigonal.

The space group is R3m (No. 160, hexagonal axes) and the conventional cell measures 2.7219, 2.7219 and 26.5002 Å, with angles of 90.00, 90.00 and 120.00 degrees. Symmetry generates all atoms from Tc at (0.0000, 0.0000, 0.0000), Ru at (0.0000, 0.0000, 0.4987), Ru at (0.0000, 0.0000, 0.7500) and Rh at (0.0000, 0.0000, 0.2501).


# 2
DFT (PBE-GGA) results for an optimized crystal structure of MgHgPd14.

The energy of formation is -12 kJ per mole of atoms. For the density of states at the Fermi level, the calculation gives 1.827 states/eV/atom. As for the total energy: -4.79 eV per atom. Its density is 11.30 g cm⁻³. The crystal system is orthorhombic.

The space group is Amm2 (No. 38) and the conventional cell measures 9.235, 5.646 and 9.662 Å, with angles of 90.00, 90.00 and 90.00 degrees. Symmetry generates all atoms from Mg at (0.000, 0.000, 0.000), Hg at (0.000, 0.000, 0.500), Pd at (0.000, 0.249, 0.250), Pd at (0.249, 0.000, 0.830), Pd at (0.251, 0.248, 0.080), Pd at (0.252, 0.000, 0.329), Pd at (0.500, 0.000, 0.163), Pd at (0.500, 0.000, 0.662) and Pd at (0.500, 0.249, 0.912).


# 3
DFT (PBE-GGA) results for an optimized crystal structure of Ca2VN3.

For the density of states at the Fermi level, the calculation gives 0.324 states/eV/atom. As for the total energy: -6.83 eV per atom. Its density is 2.61 g cm⁻³. The crystal system is orthorhombic. As for the formation energy without anion corrections: -11.1 kcal/mol of atoms.

The space group is Amm2 (No. 38) and the conventional cell measures 4.976, 8.019 and 11.021 Å, with angles of 90.00, 90.00 and 90.00 degrees. Symmetry generates all atoms from Ca at (0.000, 0.000, 0.000), Ca at (0.000, 0.209, 0.701), Ca at (0.500, 0.000, 0.203), V at (0.000, 0.000, 0.410), V at (0.500, 0.000, 0.826), N at (0.000, 0.000, 0.236), N at (0.000, 0.186, 0.488), N at (0.500, 0.000, 0.987) and N at (0.500, 0.193, 0.747).


# 4
DFT (PBE-GGA) results for an optimized crystal structure of LiAuBr2.

For the density of states at the Fermi level, the calculation gives 0.269 states/eV/atom. As for the total energy: -2.55 eV per atom. Its density is 6.77 g cm⁻³. The crystal system is tetragonal. As for the formation energy without anion corrections: -9.6 kcal/mol of atoms.

The space group is P4/mmm (No. 123) and the conventional cell measures 5.023, 5.023 and 3.538 Å, with angles of 90.00, 90.00 and 90.00 degrees. Symmetry generates all atoms from Li at (0.000, 0.000, 0.000), Au at (0.500, 0.500, 0.000) and Br at (0.000, 0.500, 0.500).


# 5
DFT (PBE-GGA) results for an optimized crystal structure of YErCuPb.

The energy of formation is -29 kJ per mole of atoms. For the density of states at the Fermi level, the calculation gives 0.979 states/eV/atom. As for the total energy: -5.01 eV per atom. Its density is 8.88 g cm⁻³. The crystal system is cubic.

The space group is F-43m (No. 216) and the conventional cell measures 7.332, 7.332 and 7.332 Å, with angles of 90.00, 90.00 and 90.00 degrees. Symmetry generates all atoms from Y at (0.000, 0.000, 0.000), Er at (0.000, 0.000, 0.500), Cu at (0.250, 0.250, 0.250) and Pb at (0.250, 0.250, 0.750).


# 6
DFT (PBE-GGA) results for an optimized crystal structure of CuSnPt3.

The energy of formation is 58 kJ per mole of atoms. For the density of states at the Fermi level, the calculation gives 1.645 states/eV/atom. As for the total energy: -4.64 eV per atom. Its density is 12.92 g cm⁻³. The crystal system is cubic.

The space group is Pm-3m (No. 221) and the conventional cell measures 4.620, 4.620 and 4.620 Å, with angles of 90.00, 90.00 and 90.00 degrees. Symmetry generates all atoms from Cu at (0.000, 0.000, 0.000), Sn at (0.500, 0.500, 0.500) and Pt at (0.000, 0.000, 0.500).


# 7
DFT (PBE-GGA) results for an optimized crystal structure of Al3Cu4Ag.

The energy of formation is -16 kJ per mole of atoms. For the density of states at the Fermi level, the calculation gives 0.158 states/eV/atom. As for the total energy: -3.97 eV per atom. Its density is 6.68 g cm⁻³. The crystal system is orthorhombic.

The space group is Pmma (No. 51) and the conventional cell measures 8.628, 5.638 and 4.529 Å, with angles of 90.00, 90.00 and 90.00 degrees. Symmetry generates all atoms from Al at (0.000, 0.000, 0.000), Al at (0.250, 0.000, 0.378), Al at (0.250, 0.500, 0.393), Cu at (0.000, 0.237, 0.500), Cu at (0.250, 0.234, 0.862) and Ag at (0.000, 0.500, 0.000).


# 8
DFT (PBE-GGA) results for an optimized crystal structure of Li2MgCdH.

For the density of states at the Fermi level, the calculation gives 0.295 states/eV/atom. As for the total energy: -2.01 eV per atom. Its density is 3.19 g cm⁻³. The crystal system is tetragonal.

The space group is P4/mmm (No. 123) and the conventional cell measures 4.264, 4.264 and 4.340 Å, with angles of 90.00, 90.00 and 90.00 degrees. Symmetry generates all atoms from Li at (0.000, 0.500, 0.000), Mg at (0.000, 0.000, 0.500), Cd at (0.500, 0.500, 0.500) and H at (0.500, 0.500, 0.000).


# 9
DFT (PBE-GGA) results for an optimized crystal structure of Rb2Pa2AgO7.

For the density of states at the Fermi level, the calculation gives 0.625 states/eV/atom. As for the total energy: -7.32 eV per atom. Its density is 6.39 g cm⁻³. The crystal system is tetragonal. As for the formation energy without anion corrections: -56.4 kcal/mol of atoms.

The space group is I4/mmm (No. 139) and the conventional cell measures 4.400, 4.400 and 22.915 Å, with angles of 90.00, 90.00 and 90.00 degrees. Symmetry generates all atoms from Rb at (0.000, 0.000, 0.191), Pa at (0.000, 0.000, 0.407), Ag at (0.000, 0.000, 0.000), O at (0.000, 0.000, 0.318), O at (0.000, 0.000, 0.500) and O at (0.000, 0.500, 0.091).


# 10
DFT (PBE-GGA) results for an optimized crystal structure of Al2GeP.

The energy of formation is -9 kJ per mole of atoms. For the density of states at the Fermi level, the calculation gives 0.539 states/eV/atom. As for the total energy: -4.47 eV per atom. Its density is 2.88 g cm⁻³. The crystal system is tetragonal.

The space group is I-42d (No. 122) and the conventional cell measures 5.746, 5.746 and 11.025 Å, with angles of 90.00, 90.00 and 90.00 degrees. Symmetry generates all atoms from Al at (0.231, 0.250, 0.125), Ge at (0.000, 0.000, 0.500) and P at (0.000, 0.000, 0.000).